Crystalline BaBe2Ru at its relaxed geometry, computed with PBE.

Unit cell a=3.975 b=3.975 c=17.111 alpha=90.00 beta=90.00 gamma=120.00
Atoms (fractional coordinates):
Ba  0.000  0.000  0.000
Ba  0.333  0.667  0.667
Ba  0.667  0.333  0.333
Be  0.000  0.000  0.182
Be  0.000  0.000  0.818
Be  0.333  0.667  0.485
Be  0.333  0.667  0.848
Be  0.667  0.333  0.152
Be  0.667  0.333  0.515
Ru  0.000  0.000  0.500
Ru  0.333  0.667  0.167
Ru  0.667  0.333  0.833

Values from the calculation:
symmetry = No. 166
energy of formation = 0.070 eV per atom
energy above the lowest structure with this stoichiometry = 32 meV/atom